1.
meta-GGA SCAN RbEr3F10, single point on PBEsol structure; formation energy (no corrections) = -4289 meV/atom; electronic total energy = -19.086 eV per atom
1.0
8.062 0.000 0.000
-4.031 6.982 0.000
0.000 0.000 13.171
Rb Er F
4 12 40
direct
0.000 0.000 0.000 Rb
0.000 0.000 0.500 Rb
0.333 0.667 0.240 Rb
0.667 0.333 0.740 Rb
0.012 0.506 0.986 Er
0.175 0.349 0.747 Er
0.175 0.825 0.747 Er
0.349 0.175 0.247 Er
0.494 0.506 0.986 Er
0.494 0.988 0.986 Er
0.506 0.012 0.486 Er
0.506 0.494 0.486 Er
0.651 0.825 0.747 Er
0.825 0.175 0.247 Er
0.825 0.651 0.247 Er
0.988 0.494 0.486 Er
0.005 0.340 0.616 F
0.005 0.665 0.616 F
0.039 0.520 0.811 F
0.110 0.220 0.277 F
0.110 0.890 0.277 F
0.184 0.368 0.922 F
0.184 0.816 0.922 F
0.220 0.110 0.777 F
0.222 0.444 0.449 F
0.222 0.778 0.449 F
0.333 0.667 0.030 F
0.333 0.667 0.699 F
0.335 0.340 0.616 F
0.335 0.995 0.616 F
0.340 0.005 0.116 F
0.340 0.335 0.116 F
0.368 0.184 0.422 F
0.444 0.222 0.949 F
0.480 0.520 0.811 F
0.480 0.961 0.811 F
0.520 0.039 0.311 F
0.520 0.480 0.311 F
0.556 0.778 0.449 F
0.632 0.816 0.922 F
0.660 0.665 0.616 F
0.660 0.995 0.616 F
0.665 0.005 0.116 F
0.665 0.660 0.116 F
0.667 0.333 0.199 F
0.667 0.333 0.530 F
0.778 0.222 0.949 F
0.778 0.556 0.949 F
0.780 0.890 0.277 F
0.816 0.184 0.422 F
0.816 0.632 0.422 F
0.890 0.110 0.777 F
0.890 0.780 0.777 F
0.961 0.480 0.311 F
0.995 0.335 0.116 F
0.995 0.660 0.116 F

***

2.
meta-GGA SCAN Ca2C, single point on PBEsol structure; electronic total energy = -9.830 eV per atom; formation energy from the elements = -2 kJ per mole of atoms; excess energy over the best structure of this formula in the dataset = 0 meV per atom
1.0
-1.688 3.745 5.815
1.688 -3.745 5.815
1.688 3.745 -5.815
Ca C
4 2
direct
0.233 0.233 0.000 Ca
0.245 0.000 0.245 Ca
0.755 0.000 0.755 Ca
0.767 0.767 0.000 Ca
0.058 0.558 0.500 C
0.942 0.442 0.500 C